(1)
KSbTe2Pt: relaxed, PBE.

Calculated values
E_tot	-3.6561	eV per atom
total magnetization	0.0	Bohr magnetons per cell
excess energy over the best structure of this formula in the dataset	0.0	meV per atom
Fermi-level density of states	3.81	states/eV/f.u.
energy relative to the elements, uncorrected	-147	meV/atom

Cell: 5.681 5.681 5.097 Å, 90.00 90.00 90.00°
Space group P4/mmm (No. 123)
Asymmetric unit:
K 0.000 0.000 0.000 x1
Sb 0.500 0.500 0.000 x1
Te 0.000 0.500 0.500 x2
Pt 0.500 0.500 0.500 x1

(2)
K2TlSb2Pt: relaxed, PBE.

Calculated values
E_tot	-3.4737	eV per atom
total magnetization	0.0	Bohr magnetons per cell
Fermi-level density of states	2.97	states/eV/f.u.
energy relative to the elements, uncorrected	-333	meV/atom

Cell: 7.688 14.933 7.241 Å, 90.00 90.00 90.00°
Space group Ibam (No. 72)
Asymmetric unit:
K 0.246 0.168 0.000 x8
Tl 0.000 0.500 0.250 x4
Sb 0.192 0.087 0.500 x8
Pt 0.000 0.000 0.250 x4

(3)
K2TlSb3Pt4: relaxed, PBE.

Calculated values
E_tot	-4.5249	eV per atom
total magnetization	0.0	Bohr magnetons per cell
Fermi-level density of states	3.84	states/eV/f.u.
energy relative to the elements, uncorrected	-416	meV/atom

Cell: 4.837 4.837 10.483 Å, 90.00 90.00 90.00°
Space group P-4m2 (No. 115)
Asymmetric unit:
K 0.000 0.500 0.247 x2
Tl 0.000 0.000 0.500 x1
Sb 0.000 0.500 0.882 x2
Sb 0.500 0.500 0.500 x1
Pt 0.000 0.000 0.000 x1
Pt 0.000 0.500 0.628 x2
Pt 0.500 0.500 0.000 x1

(4)
KTlSbPt2: relaxed, PBE.

Calculated values
E_tot	-4.2064	eV per atom
total magnetization	0.0	Bohr magnetons per cell
Fermi-level density of states	2.33	states/eV/f.u.
energy relative to the elements, uncorrected	-273	meV/atom

Cell: 7.509 4.508 9.425 Å, 90.00 110.15 90.00°
Space group P2_1/m (No. 11)
Asymmetric unit:
K 0.229 0.250 0.290 x2
Tl 0.171 0.250 0.906 x2
Sb 0.280 0.750 0.631 x2
Pt 0.086 0.250 0.581 x2
Pt 0.418 0.750 0.925 x2

(5)
KUSb2Pt2: relaxed, PBE.

Calculated values
E_tot	-6.0592	eV per atom
total magnetization	1.5	Bohr magnetons per cell
Fermi-level density of states	7.19	states/eV/f.u.
energy relative to the elements, uncorrected	-607	meV/atom

Cell: 4.4439 4.4439 9.5334 Å, 90.00 90.00 120.00°
Space group P-3m1 (No. 164)
Asymmetric unit:
K 0.0000 0.0000 0.0000 x1
U 0.0000 0.0000 0.5000 x1
Sb 0.3333 0.6667 0.7356 x2
Pt 0.3333 0.6667 0.3397 x2

(6)
KZn2SbPt: relaxed, PBE.

Calculated values
E_tot	-2.9564	eV per atom
total magnetization	0.0	Bohr magnetons per cell
Fermi-level density of states	2.13	states/eV/f.u.
energy relative to the elements, uncorrected	-195	meV/atom

Cell: 4.979 4.979 5.310 Å, 90.00 90.00 90.00°
Space group P4/mmm (No. 123)
Asymmetric unit:
K 0.000 0.000 0.000 x1
Zn 0.000 0.500 0.500 x2
Sb 0.500 0.500 0.000 x1
Pt 0.500 0.500 0.500 x1